# 1
BaCa2PrSe4 after structural relaxation, computed with PBE.

Cell: 7.5145 4.3264 7.5750 Å, 90.00 109.22 90.00°
With the nearest neighbours (Å) after each atom.
Positions (direct):
Ba1 0.0000 0.0000 0.0000  6 Se 3.20
Ca1 0.5000 0.0000 0.5000  6 Se 2.95-2.96
Ca2 0.5000 0.5000 0.0000  6 Se 3.07-3.08
Pr1 0.0000 0.5000 0.5000  6 Se 3.08-3.09
Se1 0.2618 0.0000 0.7422  3 Ca 2.96-3.07, 2 Pr 3.09, 1 Ba 3.20
Se2 0.2698 0.5000 0.2703  3 Ca 2.95-3.08, 1 Pr 3.08, 2 Ba 3.20
Se3 0.7302 0.5000 0.7297  3 Ca 2.95-3.08, 1 Pr 3.08, 2 Ba 3.20
Se4 0.7382 0.0000 0.2578  3 Ca 2.96-3.07, 2 Pr 3.09, 1 Ba 3.20

Values from the calculation:
Total magnetic moment: 0.00 μB per formula unit
Density: 4.81 g cm⁻³
Uncorrected formation energy: -1925 meV/atom



# 2
Rb3TlHg6 after structural relaxation, computed with PBE.

Cell: 8.3356 8.3356 8.3356 Å, 113.14 113.14 113.14°
With the nearest neighbours (Å) after each atom.
Positions (direct):
Rb1 0.0002 0.4999 0.4999  8 Hg 3.68-3.80
Rb2 0.4999 0.0002 0.4999  8 Hg 3.68-3.80
Rb3 0.4999 0.4999 0.0002  8 Hg 3.68-3.80
Tl1 0.5004 0.5004 0.5004  6 Hg 3.26
Hg1 0.0607 0.0607 0.3499  3 Hg 3.14-3.38, 1 Tl 3.26
Hg2 0.0607 0.3499 0.0607  3 Hg 3.14-3.38, 1 Tl 3.26
Hg3 0.3499 0.0607 0.0607  3 Hg 3.14-3.38, 1 Tl 3.26
Hg4 0.6485 0.9385 0.9385  3 Hg 3.14-3.38, 1 Tl 3.26
Hg5 0.9385 0.6485 0.9385  3 Hg 3.14-3.38, 1 Tl 3.26
Hg6 0.9385 0.9385 0.6485  3 Hg 3.14-3.38, 1 Tl 3.26

Values from the calculation:
Total magnetic moment: 0.00 μB per formula unit
Formation energy: -0.210 eV per atom
Density: 7.40 g cm⁻³



# 3
K2YNi after structural relaxation, computed with PBE.

Cell: 21.6057 3.6598 4.0628 Å, 90.00 100.70 90.00°
With the nearest neighbours (Å) after each atom.
Positions (direct):
K1 0.1536 0.0000 0.1512  4 K 3.66-4.06, 2 Ni 3.74, 2 Y 3.84
K2 0.3464 0.5000 0.8488  4 K 3.66-4.06, 2 Ni 3.74, 2 Y 3.84
K3 0.6536 0.5000 0.1512  4 K 3.66-4.06, 2 Ni 3.74, 2 Y 3.84
K4 0.8464 0.0000 0.8488  4 K 3.66-4.06, 2 Ni 3.74, 2 Y 3.84
Y1 0.0000 0.0000 0.5000  4 Ni 2.73
Y2 0.5000 0.5000 0.5000  4 Ni 2.73
Ni1 0.0000 0.5000 0.0000  4 Y 2.73
Ni2 0.5000 0.0000 0.0000  4 Y 2.73

Values from the calculation:
Total magnetic moment: 0.00 μB per formula unit
Formation energy: 0.189 eV per atom
Density: 2.38 g cm⁻³
Energy above the lowest structure with this stoichiometry: 27 meV/atom



# 4
OsSeN after structural relaxation, computed with PBE.

Cell: 3.1874 3.1874 6.6995 Å, 90.45 102.68 120.00°
With the nearest neighbours (Å) after each atom.
Positions (direct):
Os1 0.0000 0.0000 0.0000  3 N 1.95
Se1 0.4794 0.2347 0.7009  3 Os 2.67
N1 0.3947 0.6989 0.0980  3 Os 1.95

Values from the calculation:
Total magnetic moment: 0.00 μB per formula unit
Density: 8.26 g cm⁻³
Uncorrected formation energy: 397 meV/atom
Energy above the lowest structure with this stoichiometry: 0 meV/atom



# 5
ZnCrRu2 after structural relaxation, computed with PBE.

Cell: 6.0782 6.0782 6.0782 Å, 90.00 90.00 90.00°
With the nearest neighbours (Å) after each atom.
Positions (direct):
Zn1 0.0000 0.0000 0.0000  4 Cr 2.63, 4 Ru 2.63
Zn2 0.0000 0.5000 0.5000  4 Cr 2.63, 4 Ru 2.63
Zn3 0.5000 0.0000 0.5000  4 Cr 2.63, 4 Ru 2.63
Zn4 0.5000 0.5000 0.0000  4 Cr 2.63, 4 Ru 2.63
Cr1 0.2500 0.2500 0.2500  4 Ru 2.63, 4 Zn 2.63
Cr2 0.2500 0.7500 0.7500  4 Ru 2.63, 4 Zn 2.63
Cr3 0.7500 0.2500 0.7500  4 Ru 2.63, 4 Zn 2.63
Cr4 0.7500 0.7500 0.2500  4 Ru 2.63, 4 Zn 2.63
Ru1 0.0000 0.0000 0.5000  4 Cr 2.63, 4 Ru 2.63
Ru2 0.0000 0.5000 0.0000  4 Cr 2.63, 4 Ru 2.63
Ru3 0.2500 0.2500 0.7500  4 Ru 2.63, 4 Zn 2.63
Ru4 0.2500 0.7500 0.2500  4 Ru 2.63, 4 Zn 2.63
Ru5 0.5000 0.0000 0.0000  4 Cr 2.63, 4 Ru 2.63
Ru6 0.5000 0.5000 0.5000  4 Cr 2.63, 4 Ru 2.63
Ru7 0.7500 0.2500 0.2500  4 Ru 2.63, 4 Zn 2.63
Ru8 0.7500 0.7500 0.7500  4 Zn 2.63, 4 Ru 2.63

Values from the calculation:
Total magnetic moment: 3.53 μB per formula unit
Formation energy: 0.289 eV per atom
Density: 9.45 g cm⁻³



Q: Among the records above, which one has the highest total magnetic moment?
A: ZnCrRu2